[1]
4
Lattice="-0.2855 4.5882 -0.5680 -2.6779 -1.2723 3.5589 2.0857 0.3391 1.6907" Properties=species:S:1:pos:R:3 comment="NiIr2Rh | Alexandria via LeMat-Bulk | GGA-PBE | relaxed" n_ef_per_ev_cell=6.4 spacegroup="Cmmm, No. 65" e_form_mev_per_atom=58 pbc="T T T"
Ir -1.4817 1.6580 1.4954
Ir 0.0000 0.0000 0.0000
Ni 0.9001 2.4636 0.5613
Rh -0.2961 -0.4666 2.6248

---

[2]
22
Lattice="7.2945 0.0000 0.0000 3.6473 6.3173 0.0000 3.6473 2.1058 5.9560" Properties=species:S:1:pos:R:3 comment="Er2Nb2O7 | Alexandria via LeMat-Bulk | GGA-PBE | relaxed" energy_ha_per_atom=-0.32257 n_ef_per_ev_cell=8.0 spacegroup="Fd-3m, No. 227" pbc="T T T"
O 0.0000 0.0000 0.0000
O 12.5627 7.2531 3.1435
O 10.9418 8.1889 5.7904
O 7.2945 6.0832 4.3014
O 3.6473 2.1058 1.4890
O 10.9418 4.4456 3.1435
O 5.6736 3.2757 4.3014
O 9.3209 7.2531 3.1435
O 5.6736 5.1473 1.6545
O 9.3209 5.3814 5.7904
O 12.5627 5.3814 5.7904
O 7.2945 2.3398 1.6545
O 8.9154 5.1473 1.6545
O 8.9154 3.2757 4.3014
Er 3.6473 4.2115 0.7445
Er 1.8236 1.0529 0.7445
Er 3.6473 2.1058 3.7225
Er 5.4709 1.0529 0.7445
Nb 7.2945 2.1058 3.7225
Nb 9.1182 5.2644 3.7225
Nb 7.2945 4.2115 0.7445
Nb 5.4709 5.2644 3.7225

---

[3]
6
Lattice="-2.5172 0.7573 0.6924 -1.0416 -1.5727 -2.0665 -0.6123 -7.6191 6.1069" Properties=species:S:1:pos:R:3 comment="NiAuC | Alexandria via LeMat-Bulk | GGA-PBE | relaxed" n_ef_per_ev_cell=4.0 spacegroup="Amm2, No. 38" e_form_mev_per_atom=780 e_above_lowest_polymorph_mev_per_atom=88 pbc="T T T"
Au -2.3292 -7.2485 4.7961
Au -1.5022 -2.6527 2.7759
C -1.3672 -0.9725 1.4292
C -2.1941 -5.5684 3.4494
Ni -0.3986 -4.9597 3.9753
Ni -0.6132 -1.9365 -0.1114

---

[4]
6
Lattice="-0.0876 -0.7572 -2.6400 1.4683 -2.2451 0.5952 -9.9365 -5.9581 2.0386" Properties=species:S:1:pos:R:3 comment="Re2Os | Alexandria via LeMat-Bulk | GGA-PBE | relaxed" n_ef_per_ev_cell=7.0 spacegroup="P4/nmm, No. 129" e_form_mev_per_atom=86 e_above_lowest_polymorph_mev_per_atom=160 pbc="T T T"
Re -2.5745 -1.8960 -0.8008
Re -0.0861 -1.6144 0.4659
Re -9.1601 -5.8449 0.5503
Re -6.6716 -5.5632 1.8170
Os -3.4042 -3.6040 1.1466
Os -5.8419 -3.8553 -0.1305

---

[5]
16
Lattice="-7.7433 2.0875 -2.0649 0.8413 -4.0722 -7.2714 1.4581 -3.9809 7.1136" Properties=species:S:1:pos:R:3 comment="LiPr4Y3Se8 | Alexandria via LeMat-Bulk | GGA-PBE | relaxed" energy_ha_per_atom=-0.22258 n_ef_per_ev_cell=8.1 spacegroup="R-3m, No. 166" pbc="T T T"
Li 0.4206 -2.0361 -3.6357
Se -1.6975 -0.6187 -2.4084
Se -1.0086 -2.5818 1.1719
Se -0.5455 -4.3830 -2.3854
Se -3.7464 -5.3469 0.1857
Se -4.8984 -1.5826 0.1627
Se 0.1973 -6.4101 1.2374
Se -4.4353 -3.3838 -3.3946
Se -5.6412 0.4445 -3.4601
Pr 0.7291 -1.9905 3.5568
Pr 0.0000 0.0000 0.0000
Pr -3.1426 -0.9467 2.5243
Pr -3.8716 1.0438 -1.0325
Y 1.1497 -4.0266 -0.0789
Y -2.7219 -2.9828 -1.1114
Y -3.4510 -0.9923 -4.6682

---

[6]
16
Lattice="-1.8984 3.6686 2.2705 2.5942 -2.9413 6.9215 10.4876 6.2231 -1.2862" Properties=species:S:1:pos:R:3 comment="Pr5Ga2Os | Alexandria via LeMat-Bulk | GGA-PBE | relaxed" n_ef_per_ev_cell=13.8 spacegroup="Pbam, No. 55" e_form_mev_per_atom=-328 pbc="T T T"
Os 6.5409 1.6409 2.8176
Os 0.0000 0.0000 0.0000
Ga 8.9041 5.7463 3.0528
Ga 2.7171 3.7042 1.1794
Ga 8.4662 3.2461 6.7264
Ga 2.2792 1.2040 4.8529
Pr 8.7079 4.5029 0.0052
Pr 1.2971 -1.4707 3.4607
Pr 3.9921 0.7926 2.0571
Pr 10.8765 5.2032 5.5795
Pr 0.3069 1.7472 2.3262
Pr 5.2996 2.4694 5.3337
Pr 5.2438 3.1115 -0.6431
Pr 5.8838 4.4810 2.5720
Pr 9.0897 2.4891 3.5782
Pr 4.3739 -1.2211 5.6301

---

[7]
8
Lattice="4.1137 0.0000 -0.8361 -0.1699 4.1102 -0.8361 -0.2366 -0.2466 9.3738" Properties=species:S:1:pos:R:3 comment="UGe2Au | Alexandria via LeMat-Bulk | GGA-PBE | relaxed" n_ef_per_ev_cell=11.3 spacegroup="I4/mmm, No. 139" e_form_mev_per_atom=-255 e_above_lowest_polymorph_mev_per_atom=0 pbc="T T T"
Ge -0.0850 2.0551 -0.4181
Ge 1.2598 1.3130 6.1984
Ge 2.0568 0.0000 -0.4181
Ge 2.4473 2.5506 1.5032
Au 2.9245 0.9043 3.8508
Au 0.7827 2.9593 3.8508
U 0.3978 0.4145 1.9570
U 3.3094 3.4491 5.7446

---

[8]
5
Lattice="5.5036 0.0000 0.0000 0.0000 5.5036 0.0000 0.0000 0.0000 5.8159" Properties=species:S:1:pos:R:3 comment="LaBPS2 | Alexandria via LeMat-Bulk | GGA-PBE | relaxed" n_ef_per_ev_cell=5.3 spacegroup="P4/mmm, No. 123" e_above_lowest_polymorph_mev_per_atom=1454 pbc="T T T"
S 0.0000 2.7518 0.0000
S 2.7518 0.0000 0.0000
La 0.0000 0.0000 0.0000
B 2.7518 2.7518 2.9079
P 0.0000 0.0000 2.9079

---

Q: Which formula does entry 4 have?
A: Re2Os